1.
Below is BaP3F at its PBEsol-relaxed geometry, with properties calculated at the meta-GGA SCAN level.

a = 4.617 Å, b = 4.617 Å, c = 4.617 Å
α = 90.00°, β = 90.00°, γ = 90.00°
Space group Pm-3m (No. 221)
Symmetry-distinct sites (fractional):
Ba1 0.000 0.000 0.000 (multiplicity 1)
P1 0.000 0.500 0.500 (multiplicity 3)
F1 0.500 0.500 0.500 (multiplicity 1)

The total energy comes out at -14.85 eV/atom. The raw formation energy comes out at 0.013 eV/f.u.

---

2.
Below is Cd2In at its PBEsol-relaxed geometry, with properties calculated at the meta-GGA SCAN level.

a = 6.397 Å, b = 4.446 Å, c = 9.362 Å
α = 90.00°, β = 90.00°, γ = 90.00°
Space group Pnma (No. 62)
Symmetry-distinct sites (fractional):
Cd1 0.123 0.250 0.083 (multiplicity 4)
Cd2 0.123 0.250 0.752 (multiplicity 4)
In1 0.130 0.250 0.414 (multiplicity 4)

For the formation enthalpy at 0 K, the calculation gives 53 meV per atom. The total energy comes out at -31.35 eV/atom.

---

3.
Below is CaZnPb at its PBEsol-relaxed geometry, with properties calculated at the meta-GGA SCAN level.

a = 3.603 Å, b = 3.603 Å, c = 11.397 Å
α = 90.00°, β = 90.00°, γ = 90.00°
Space group I4mm (No. 107)
Symmetry-distinct sites (fractional):
Ca1 0.000 0.000 0.000 (multiplicity 2)
Zn1 0.000 0.000 0.338 (multiplicity 2)
Pb1 0.000 0.000 0.699 (multiplicity 2)

For the formation enthalpy at 0 K, the calculation gives -291 meV per atom. The total energy comes out at -33.28 eV/atom.

---

4.
Below is KIrAu2 at its PBEsol-relaxed geometry, with properties calculated at the meta-GGA SCAN level.

a = 2.820 Å, b = 2.820 Å, c = 9.338 Å
α = 90.00°, β = 90.00°, γ = 90.00°
Space group P4/mmm (No. 123)
Symmetry-distinct sites (fractional):
K1 0.000 0.000 0.000 (multiplicity 1)
Ir1 0.000 0.000 0.500 (multiplicity 1)
Au1 0.500 0.500 0.287 (multiplicity 2)

For the formation enthalpy at 0 K, the calculation gives 362 meV per atom. The total energy comes out at -54.07 eV/atom.

---

5.
Below is SiSeCl2 at its PBEsol-relaxed geometry, with properties calculated at the meta-GGA SCAN level.

a = 3.026 Å, b = 5.402 Å, c = 10.038 Å
α = 90.00°, β = 90.00°, γ = 90.00°
Space group Cmmm (No. 65)
Symmetry-distinct sites (fractional):
Si1 0.000 0.000 0.000 (multiplicity 2)
Se1 0.000 0.000 0.500 (multiplicity 2)
Cl1 0.000 0.500 0.182 (multiplicity 4)

The total energy comes out at -11.32 eV/atom. The raw formation energy comes out at 0.763 eV/f.u.

---

6.
Below is TiIrI2 at its PBEsol-relaxed geometry, with properties calculated at the meta-GGA SCAN level.

a = 6.799 Å, b = 6.799 Å, c = 6.799 Å
α = 90.00°, β = 90.00°, γ = 90.00°
Space group Fm-3m (No. 225)
Symmetry-distinct sites (fractional):
Ti1 0.000 0.000 0.000 (multiplicity 4)
Ir1 0.000 0.000 0.500 (multiplicity 4)
I1 0.250 0.250 0.250 (multiplicity 8)

The total energy comes out at -39.40 eV/atom. The raw formation energy comes out at 3.017 eV/f.u.

---

7.
Below is Nb3HOs at its PBEsol-relaxed geometry, with properties calculated at the meta-GGA SCAN level.

a = 4.110 Å, b = 4.110 Å, c = 4.110 Å
α = 90.00°, β = 90.00°, γ = 90.00°
Space group Pm-3m (No. 221)
Symmetry-distinct sites (fractional):
Nb1 0.000 0.000 0.500 (multiplicity 3)
H1 0.000 0.000 0.000 (multiplicity 1)
Os1 0.500 0.500 0.500 (multiplicity 1)

The total energy comes out at -34.94 eV/atom.

---

8.
Below is SrTlCr at its PBEsol-relaxed geometry, with properties calculated at the meta-GGA SCAN level.

a = 4.9630 Å, b = 4.9630 Å, c = 3.8490 Å
α = 90.00°, β = 90.00°, γ = 120.00°
Space group P-6m2 (No. 187)
Symmetry-distinct sites (fractional):
Sr1 0.0000 0.0000 0.0000 (multiplicity 1)
Tl1 0.3333 0.6667 0.5000 (multiplicity 1)
Cr1 0.6667 0.3333 0.5000 (multiplicity 1)

For the formation enthalpy at 0 K, the calculation gives -59 meV per atom. The total energy comes out at -37.73 eV/atom.

---

9.
Below is LiTlRe2 at its PBEsol-relaxed geometry, with properties calculated at the meta-GGA SCAN level.

a = 3.011 Å, b = 4.706 Å, c = 9.432 Å
α = 90.00°, β = 90.00°, γ = 90.00°
Space group Cmm2 (No. 35)
Symmetry-distinct sites (fractional):
Li1 0.000 0.000 0.000 (multiplicity 2)
Tl1 0.000 0.500 0.737 (multiplicity 2)
Re1 0.000 0.000 0.459 (multiplicity 2)
Re2 0.000 0.500 0.239 (multiplicity 2)

For the formation enthalpy at 0 K, the calculation gives 479 meV per atom. The total energy comes out at -53.76 eV/atom.

---

10.
Below is SOF2 at its PBEsol-relaxed geometry, with properties calculated at the meta-GGA SCAN level.

a = 3.307 Å, b = 3.307 Å, c = 14.319 Å
α = 90.00°, β = 90.00°, γ = 90.00°
Space group I-42d (No. 122)
Symmetry-distinct sites (fractional):
S1 0.000 0.000 0.000 (multiplicity 4)
O1 0.000 0.000 0.500 (multiplicity 4)
F1 0.221 0.250 0.125 (multiplicity 8)

The total energy comes out at -5.35 eV/atom. The raw formation energy comes out at 1.540 eV/f.u.

---

11.
Below is Ba5Cl at its PBEsol-relaxed geometry, with properties calculated at the meta-GGA SCAN level.

a = 11.126 Å, b = 11.126 Å, c = 11.126 Å
α = 90.00°, β = 90.00°, γ = 90.00°
Space group F-43m (No. 216)
Symmetry-distinct sites (fractional):
Ba1 0.000 0.000 0.000 (multiplicity 4)
Ba2 0.125 0.125 0.375 (multiplicity 16)
Cl1 0.250 0.250 0.750 (multiplicity 4)

The total energy comes out at -34.29 eV/atom. The raw formation energy comes out at -0.002 eV/f.u.

---

12.
Below is Ba2HgSe at its PBEsol-relaxed geometry, with properties calculated at the meta-GGA SCAN level.

a = 4.168 Å, b = 4.333 Å, c = 16.684 Å
α = 90.00°, β = 90.00°, γ = 90.00°
Space group Imm2 (No. 44)
Symmetry-distinct sites (fractional):
Ba1 0.000 0.000 0.000 (multiplicity 2)
Ba2 0.000 0.500 0.229 (multiplicity 2)
Hg1 0.000 0.500 0.830 (multiplicity 2)
Se1 0.000 0.000 0.576 (multiplicity 2)

The total energy comes out at -43.10 eV/atom. The raw formation energy comes out at -5.050 eV/f.u.

---

13.
Below is MnCr2As at its PBEsol-relaxed geometry, with properties calculated at the meta-GGA SCAN level.

a = 2.663 Å, b = 3.909 Å, c = 4.580 Å
α = 90.00°, β = 98.40°, γ = 90.00°
Space group Pm (No. 6)
Symmetry-distinct sites (fractional):
Mn1 0.000 0.000 0.000 (multiplicity 1)
Cr1 0.356 0.500 0.795 (multiplicity 1)
Cr2 0.596 0.000 0.529 (multiplicity 1)
As1 0.008 0.500 0.286 (multiplicity 1)

For the formation enthalpy at 0 K, the calculation gives 173 meV per atom. The total energy comes out at -18.63 eV/atom.

---

14.
Below is HfAs2CSe at its PBEsol-relaxed geometry, with properties calculated at the meta-GGA SCAN level.

a = 4.308 Å, b = 4.308 Å, c = 4.335 Å
α = 90.00°, β = 90.00°, γ = 90.00°
Space group P4/mmm (No. 123)
Symmetry-distinct sites (fractional):
Hf1 0.000 0.000 0.000 (multiplicity 1)
As1 0.000 0.500 0.500 (multiplicity 2)
C1 0.500 0.500 0.500 (multiplicity 1)
Se1 0.500 0.500 0.000 (multiplicity 1)

The total energy comes out at -25.93 eV/atom. The raw formation energy comes out at 3.578 eV/f.u.

---

15.
Below is Y2ZnIr at its PBEsol-relaxed geometry, with properties calculated at the meta-GGA SCAN level.

a = 4.286 Å, b = 3.831 Å, c = 10.473 Å
α = 90.00°, β = 90.00°, γ = 90.00°
Space group Amm2 (No. 38)
Symmetry-distinct sites (fractional):
Y1 0.000 0.000 0.000 (multiplicity 2)
Y2 0.500 0.000 0.280 (multiplicity 2)
Zn1 0.000 0.000 0.711 (multiplicity 2)
Ir1 0.500 0.000 0.567 (multiplicity 2)

For the formation enthalpy at 0 K, the calculation gives -765 meV per atom. The total energy comes out at -35.84 eV/atom.

---

16.
Below is GeRhN2O at its PBEsol-relaxed geometry, with properties calculated at the meta-GGA SCAN level.

a = 3.756 Å, b = 3.756 Å, c = 3.618 Å
α = 90.00°, β = 90.00°, γ = 90.00°
Space group P4/mmm (No. 123)
Symmetry-distinct sites (fractional):
Ge1 0.000 0.000 0.000 (multiplicity 1)
Rh1 0.500 0.500 0.500 (multiplicity 1)
N1 0.000 0.500 0.000 (multiplicity 2)
O1 0.000 0.000 0.500 (multiplicity 1)

The total energy comes out at -14.64 eV/atom. The raw formation energy comes out at 4.483 eV/f.u.

---

17.
Below is Be2CdGa2 at its PBEsol-relaxed geometry, with properties calculated at the meta-GGA SCAN level.

a = 3.678 Å, b = 3.678 Å, c = 11.016 Å
α = 90.00°, β = 90.00°, γ = 90.00°
Space group I4/mmm (No. 139)
Symmetry-distinct sites (fractional):
Be1 0.000 0.500 0.250 (multiplicity 4)
Cd1 0.000 0.000 0.000 (multiplicity 2)
Ga1 0.000 0.000 0.385 (multiplicity 4)

For the formation enthalpy at 0 K, the calculation gives 284 meV per atom. The total energy comes out at -14.08 eV/atom.

---

18.
Below is RbY3Ta at its PBEsol-relaxed geometry, with properties calculated at the meta-GGA SCAN level.

a = 5.176 Å, b = 5.176 Å, c = 5.176 Å
α = 90.00°, β = 90.00°, γ = 90.00°
Space group Pm-3m (No. 221)
Symmetry-distinct sites (fractional):
Rb1 0.000 0.000 0.000 (multiplicity 1)
Y1 0.000 0.000 0.500 (multiplicity 3)
Ta1 0.500 0.500 0.500 (multiplicity 1)

For the formation enthalpy at 0 K, the calculation gives 1862 meV per atom. The total energy comes out at -32.31 eV/atom.

---

19.
Below is PPt2W at its PBEsol-relaxed geometry, with properties calculated at the meta-GGA SCAN level.

a = 5.194 Å, b = 8.193 Å, c = 2.768 Å
α = 90.00°, β = 90.00°, γ = 90.00°
Space group Cmmm (No. 65)
Symmetry-distinct sites (fractional):
P1 0.000 0.000 0.000 (multiplicity 2)
Pt1 0.250 0.250 0.500 (multiplicity 4)
W1 0.000 0.500 0.000 (multiplicity 2)

For the formation enthalpy at 0 K, the calculation gives 89 meV per atom. The total energy comes out at -55.03 eV/atom.

---

20.
Below is CuHgS2N at its PBEsol-relaxed geometry, with properties calculated at the meta-GGA SCAN level.

a = 4.723 Å, b = 4.723 Å, c = 3.597 Å
α = 90.00°, β = 90.00°, γ = 90.00°
Space group P4/mmm (No. 123)
Symmetry-distinct sites (fractional):
Cu1 0.000 0.000 0.000 (multiplicity 1)
Hg1 0.500 0.500 0.500 (multiplicity 1)
S1 0.000 0.500 0.000 (multiplicity 2)
N1 0.000 0.000 0.500 (multiplicity 1)

The total energy comes out at -21.51 eV/atom. The raw formation energy comes out at 4.362 eV/f.u.

---

21.
Below is Er2AgIr at its PBEsol-relaxed geometry, with properties calculated at the meta-GGA SCAN level.

a = 6.851 Å, b = 6.851 Å, c = 6.851 Å
α = 90.00°, β = 90.00°, γ = 90.00°
Space group Fm-3m (No. 225)
Symmetry-distinct sites (fractional):
Er1 0.250 0.250 0.250 (multiplicity 8)
Ag1 0.000 0.000 0.000 (multiplicity 4)
Ir1 0.000 0.000 0.500 (multiplicity 4)

For the formation enthalpy at 0 K, the calculation gives -798 meV per atom. The total energy comes out at -51.59 eV/atom.

---

22.
Below is Ba3Rh at its PBEsol-relaxed geometry, with properties calculated at the meta-GGA SCAN level.

a = 7.641 Å, b = 4.419 Å, c = 11.115 Å
α = 90.00°, β = 103.44°, γ = 90.00°
Space group C2/m (No. 12)
Symmetry-distinct sites (fractional):
Ba1 0.000 0.000 0.000 (multiplicity 2)
Ba2 0.218 0.000 0.651 (multiplicity 4)
Rh1 0.000 0.500 0.500 (multiplicity 2)

For the formation enthalpy at 0 K, the calculation gives -56 meV per atom. The total energy comes out at -38.16 eV/atom.

---

23.
Below is Zr2ScFe at its PBEsol-relaxed geometry, with properties calculated at the meta-GGA SCAN level.

a = 3.138 Å, b = 3.138 Å, c = 7.602 Å
α = 90.00°, β = 90.00°, γ = 90.00°
Space group P4mm (No. 99)
Symmetry-distinct sites (fractional):
Zr1 0.000 0.000 0.000 (multiplicity 1)
Zr2 0.500 0.500 0.284 (multiplicity 1)
Sc1 0.500 0.500 0.681 (multiplicity 1)
Fe1 0.000 0.000 0.480 (multiplicity 1)

For the formation enthalpy at 0 K, the calculation gives -24 meV per atom. The total energy comes out at -23.47 eV/atom.

---

24.
Below is CaPSe at its PBEsol-relaxed geometry, with properties calculated at the meta-GGA SCAN level.

a = 3.836 Å, b = 3.836 Å, c = 9.724 Å
α = 90.00°, β = 90.00°, γ = 90.00°
Space group I4mm (No. 107)
Symmetry-distinct sites (fractional):
Ca1 0.000 0.000 0.000 (multiplicity 2)
P1 0.000 0.000 0.610 (multiplicity 2)
Se1 0.000 0.000 0.373 (multiplicity 2)

The total energy comes out at -14.24 eV/atom. The raw formation energy comes out at -2.593 eV/f.u.

---

25.
Below is Te2HPt at its PBEsol-relaxed geometry, with properties calculated at the meta-GGA SCAN level.

a = 6.584 Å, b = 6.584 Å, c = 6.584 Å
α = 90.00°, β = 90.00°, γ = 90.00°
Space group Fm-3m (No. 225)
Symmetry-distinct sites (fractional):
Te1 0.250 0.250 0.250 (multiplicity 8)
H1 0.000 0.000 0.000 (multiplicity 4)
Pt1 0.000 0.000 0.500 (multiplicity 4)

The total energy comes out at -36.57 eV/atom.

---

26.
Below is Li4Mn3F10 at its PBEsol-relaxed geometry, with properties calculated at the meta-GGA SCAN level.

a = 10.394 Å, b = 15.097 Å, c = 5.228 Å
α = 90.00°, β = 101.16°, γ = 90.00°
Space group C2/c (No. 15)
Symmetry-distinct sites (fractional):
Li1 0.000 0.078 0.250 (multiplicity 4)
Li2 0.000 0.232 0.750 (multiplicity 4)
Li3 0.128 0.260 0.321 (multiplicity 8)
Mn1 0.000 0.429 0.750 (multiplicity 4)
Mn2 0.201 0.085 0.854 (multiplicity 8)
F1 0.002 0.323 0.001 (multiplicity 8)
F2 0.087 0.158 0.066 (multiplicity 8)
F3 0.123 0.023 0.512 (multiplicity 8)
F4 0.127 0.484 0.078 (multiplicity 8)
F5 0.199 0.200 0.661 (multiplicity 8)

The total energy comes out at -8.77 eV/atom. The raw formation energy comes out at -49.425 eV/f.u.

---

27.
Below is MoOsAu at its PBEsol-relaxed geometry, with properties calculated at the meta-GGA SCAN level.

a = 2.787 Å, b = 3.908 Å, c = 8.356 Å
α = 90.00°, β = 90.00°, γ = 90.00°
Space group Imm2 (No. 44)
Symmetry-distinct sites (fractional):
Mo1 0.000 0.000 0.000 (multiplicity 2)
Os1 0.000 0.000 0.653 (multiplicity 2)
Au1 0.000 0.000 0.326 (multiplicity 2)

For the formation enthalpy at 0 K, the calculation gives 220 meV per atom. The total energy comes out at -58.42 eV/atom.

---

28.
Below is Li2AlRe at its PBEsol-relaxed geometry, with properties calculated at the meta-GGA SCAN level.

a = 3.542 Å, b = 3.542 Å, c = 8.970 Å
α = 90.00°, β = 90.00°, γ = 90.00°
Space group I4/mmm (No. 139)
Symmetry-distinct sites (fractional):
Li1 0.000 0.500 0.250 (multiplicity 4)
Al1 0.000 0.000 0.000 (multiplicity 2)
Re1 0.000 0.000 0.500 (multiplicity 2)

For the formation enthalpy at 0 K, the calculation gives 183 meV per atom. The total energy comes out at -20.72 eV/atom.